No. 1
Here is a relaxed structure of Al2RhBr from Alexandria via LeMat-Bulk. Energies are from GGA-PBE.

The value obtained for the uncorrected formation energy is -308.2 meV/atom. The distance to the lowest polymorph of the same formula is 0.2063 eV per atom. For the density of states at the Fermi level, the calculation gives 1.33 states/eV/cell. The calculation puts the total moment at 0.00 μB per formula unit.

The space group is P4mm (No. 99) and the conventional cell measures 3.465, 3.465 and 7.945 Å, with angles of 90.00, 90.00 and 90.00 degrees. The inequivalent atoms are Al at (0.000, 0.000, 0.000), Al at (0.500, 0.500, 0.292), Rh at (0.500, 0.500, 0.001) and Br at (0.000, 0.000, 0.471).

No. 2
Here is a relaxed structure of Th3Ga6Pd20 from Alexandria via LeMat-Bulk. Energies are from GGA-PBE.

For the density of states at the Fermi level, the calculation gives 45.76 states/eV/cell. The calculation puts the total moment at 0.00 μB per formula unit. The value obtained for the formation energy is -713 meV per atom.

The space group is Fm-3m (No. 225) and the conventional cell measures 12.589, 12.589 and 12.589 Å, with angles of 90.00, 90.00 and 90.00 degrees. The inequivalent atoms are Th at (0.000, 0.000, 0.000), Th at (0.250, 0.250, 0.250), Ga at (0.000, 0.000, 0.273), Pd at (0.000, 0.173, 0.173) and Pd at (0.121, 0.121, 0.379).

No. 3
Here is a relaxed structure of MnIn2Pt from Alexandria via LeMat-Bulk. Energies are from GGA-PBE.

For the density of states at the Fermi level, the calculation gives 5.90 states/eV/cell. The calculation puts the total moment at 3.77 μB per formula unit. The value obtained for the formation energy is 0 meV per atom.

The space group is F-43m (No. 216) and the conventional cell measures 6.675, 6.675 and 6.675 Å, with angles of 90.00, 90.00 and 90.00 degrees. The inequivalent atoms are Mn at (0.000, 0.000, 0.000), In at (0.000, 0.000, 0.500), In at (0.250, 0.250, 0.750) and Pt at (0.250, 0.250, 0.250).

- What is the total moment in the second record?
  0.00 μB per formula unit